# GGA+U Co2SnCl2O3, relaxed
# **V**: 16.79 Å³ per atom
# **Energy**: -5.15 eV/atom
data_Co2SnCl2O3
_chemical_formula_sum 'Co4 Sn2 Cl4 O6'
_space_group_name_H-M_alt 'P 1 21/m 1'
_space_group_IT_number 11
_space_group_name_Hall '-P 2yb'
_cell_length_a 5.017
_cell_length_b 7.008
_cell_length_c 7.656
_cell_angle_alpha 90.00
_cell_angle_beta 93.72
_cell_angle_gamma 90.00
loop_
_atom_site_label
_atom_site_type_symbol
_atom_site_fract_x
_atom_site_fract_y
_atom_site_fract_z
Co1 Co 0.000 0.000 0.000
Co2 Co 0.294 0.250 0.781
Sn1 Sn 0.468 0.750 0.779
Cl1 Cl 0.231 0.750 0.206
Cl2 Cl 0.248 0.250 0.461
O1 O 0.219 0.250 0.048
O2 O 0.243 0.526 0.801